# CaTi2Os2

An optimized crystal structure of CaTi2Os2 (GGA-PBE, Alexandria).

Summary:
Energy above the lowest structure with this stoichiometry, meV/atom: 73
Theoretical density, g cm⁻³: 9.7
M_tot, μB per atom: 0.000

```
10
Lattice="7.6793 0.0000 0.0000 0.0000 7.6793 0.0000 0.0000 0.0000 3.0038" Properties=species:S:1:pos:R:3 pbc="T T T"
Ca 0.0000 0.0000 0.0000
Ca 3.8397 3.8397 0.0000
Ti 1.0837 2.7560 1.5019
Ti 2.7560 6.5957 1.5019
Ti 4.9233 1.0837 1.5019
Ti 6.5957 4.9233 1.5019
Os 1.1105 4.9501 0.0000
Os 2.7292 1.1105 0.0000
Os 4.9501 6.5689 0.0000
Os 6.5689 2.7292 0.0000
```

# RbPd3F

An optimized crystal structure of RbPd3F (GGA-PBE, Alexandria).

Summary:
Energy above the lowest structure with this stoichiometry, meV/atom: 1070
Theoretical density, g cm⁻³: 4.7
M_tot, μB per atom: 0.001
ΔE_f (raw), kcal/mol of atoms: 29.765

```
5
Lattice="5.3029 0.0000 0.0000 0.0000 5.3029 0.0000 0.0000 0.0000 5.3029" Properties=species:S:1:pos:R:3 pbc="T T T"
Rb 0.0000 0.0000 0.0000
Pd 0.0000 0.0000 2.6515
Pd 0.0000 2.6515 0.0000
Pd 2.6515 0.0000 0.0000
F 2.6515 2.6515 2.6515
```

# NiPb4

An optimized crystal structure of NiPb4 (GGA-PBE, Alexandria).

Summary:
Theoretical density, g cm⁻³: 10.5
Raw total energy, eV per atom: -4.084
M_tot, μB per atom: 0.000

```
10
Lattice="6.8160 0.0000 0.0000 0.0000 6.8160 0.0000 0.0000 0.0000 6.0374" Properties=species:S:1:pos:R:3 pbc="T T T"
Ni 0.0000 0.0000 1.5093
Ni 0.0000 0.0000 4.5280
Pb 1.1194 2.1448 0.0000
Pb 1.1194 4.6712 3.0187
Pb 2.1448 1.1194 3.0187
Pb 2.1448 5.6966 0.0000
Pb 4.6712 1.1194 0.0000
Pb 4.6712 5.6966 3.0187
Pb 5.6966 2.1448 3.0187
Pb 5.6966 4.6712 0.0000
```

# ScB2N

An optimized crystal structure of ScB2N (GGA-PBE, Alexandria).

Summary:
Theoretical density, g cm⁻³: 3.5
M_tot, μB per atom: 0.000
ΔE_f (raw), kcal/mol of atoms: 7.555

```
16
Lattice="5.4293 0.0000 0.0000 0.0000 5.4293 0.0000 0.0000 0.0000 5.1580" Properties=species:S:1:pos:R:3 pbc="T T T"
Sc 0.0000 0.0000 0.0000
Sc 0.0000 2.7146 1.2895
Sc 2.7146 0.0000 3.8685
Sc 2.7146 2.7146 2.5790
B 0.7646 1.3573 3.2238
B 1.3573 3.4792 4.5133
B 1.3573 4.6647 1.9343
B 1.9500 1.3573 0.6448
B 3.4792 4.0720 0.6448
B 4.0720 0.7646 1.9343
B 4.0720 1.9500 4.5133
B 4.6647 4.0720 3.2238
N 0.0000 0.0000 2.5790
N 0.0000 2.7146 3.8685
N 2.7146 0.0000 1.2895
N 2.7146 2.7146 0.0000
```

# LaPr12Tm6

An optimized crystal structure of LaPr12Tm6 (GGA-PBE, Alexandria).

Summary:
Energy above the lowest structure with this stoichiometry, meV/atom: 0
Theoretical density, g cm⁻³: 7.1
M_tot, μB per atom: 0.000

```
19
Lattice="6.1036 3.5239 5.1544 -6.1036 3.5239 5.1544 0.0000 -7.0478 5.1544" Properties=species:S:1:pos:R:3 pbc="T T T"
La 0.0000 0.0000 0.0000
Pr -1.0830 -1.8251 2.9726
Pr -1.0391 1.8505 2.9726
Pr -1.5064 -1.5999 6.4348
Pr 2.1221 -0.0253 2.9726
Pr -2.1387 0.5046 9.0282
Pr -0.6323 2.1045 6.4348
Pr 0.6323 -2.1045 9.0282
Pr 2.1387 -0.5046 6.4348
Pr -2.1221 0.0253 12.4905
Pr 1.5064 1.5998 9.0282
Pr 1.0391 -1.8505 12.4905
Pr 1.0830 1.8251 12.4905
Tm -3.6704 1.0144 5.4714
Tm 0.9567 -3.6859 5.4714
Tm -2.7137 -2.6715 9.9917
Tm 2.7137 2.6715 5.4714
Tm -0.9567 3.6859 9.9917
Tm 3.6704 -1.0144 9.9917
```

# SrAcAlGa

An optimized crystal structure of SrAcAlGa (GGA-PBE, Alexandria).

Summary:
Energy above the lowest structure with this stoichiometry, meV/atom: 77
Theoretical density, g cm⁻³: 5.6
M_tot, μB per atom: 0.000

```
16
Lattice="7.8835 0.0000 0.0000 0.0000 7.8835 0.0000 0.0000 0.0000 7.8835" Properties=species:S:1:pos:R:3 pbc="T T T"
Sr 0.0000 0.0000 0.0000
Sr 0.0000 3.9417 3.9417
Sr 3.9417 0.0000 3.9417
Sr 3.9417 3.9417 0.0000
Ac 0.0000 0.0000 3.9417
Ac 0.0000 3.9417 0.0000
Ac 3.9417 0.0000 0.0000
Ac 3.9417 3.9417 3.9417
Al 1.9709 1.9709 5.9126
Al 1.9709 5.9126 1.9709
Al 5.9126 1.9709 1.9709
Al 5.9126 5.9126 5.9126
Ga 1.9709 1.9709 1.9709
Ga 1.9709 5.9126 5.9126
Ga 5.9126 1.9709 5.9126
Ga 5.9126 5.9126 1.9709
```

# LaDy2Ho8

An optimized crystal structure of LaDy2Ho8 (GGA-PBE, Alexandria).

Summary:
Energy above the lowest structure with this stoichiometry, meV/atom: 0
Theoretical density, g cm⁻³: 8.3
M_tot, μB per atom: 0.000

```
11
Lattice="-2.7395 4.0648 7.9720 2.7395 -4.0648 7.9720 2.7395 4.0648 -7.9720" Properties=species:S:1:pos:R:3 pbc="T T T"
La 0.0000 0.0000 0.0000
Dy 0.0000 0.0000 4.7964
Dy 0.0000 0.0000 11.1475
Ho 2.7395 -1.6739 5.7175
Ho 2.7395 0.0000 2.6041
Ho 2.7395 2.4072 0.0000
Ho 0.0000 2.3909 2.2545
Ho 2.7395 1.6739 5.7175
Ho 0.0000 1.6576 7.9720
Ho 0.0000 4.0648 5.3679
Ho 0.0000 5.7387 2.2545
```

# Pa2H2S3

An optimized crystal structure of Pa2H2S3 (GGA-PBE, Alexandria).

Summary:
Theoretical density, g cm⁻³: 8.1
Raw total energy, eV per atom: -6.640
M_tot, μB per atom: 0.147

```
14
Lattice="3.7866 0.0000 0.0000 0.0000 3.8414 0.0000 0.0000 0.0000 15.7017" Properties=species:S:1:pos:R:3 pbc="T T T"
Pa 0.0000 0.0000 2.0418
Pa 0.0000 0.0000 13.6599
Pa 1.8933 1.9207 5.8091
Pa 1.8933 1.9207 9.8926
H 0.0000 1.9207 1.1125
H 0.0000 1.9207 14.5892
H 1.8933 0.0000 6.7384
H 1.8933 0.0000 8.9633
S 0.0000 0.0000 4.9328
S 0.0000 0.0000 10.7689
S 0.0000 1.9207 7.8508
S 1.8933 0.0000 0.0000
S 1.8933 1.9207 2.9181
S 1.8933 1.9207 12.7836
```